[1]
{"formula": "LaGa8Pd4", "functional": "PBE", "state": "relaxed", "ef_ev_per_atom": -0.56, "total_energy_ev_per_atom": -4.40, "space_group": "No. 139", "lattice": [[-2.187, -5.091, -0.174], [4.710, -5.062, 0.599], [-1.803, -2.457, 6.235]], "species": ["La", "Ga", "Ga", "Ga", "Ga", "Ga", "Ga", "Ga", "Ga", "Pd", "Pd", "Pd", "Pd"], "fractional_positions": [[0.000, 0.000, 0.000], [0.000, 0.351, 0.649], [0.000, 0.649, 0.351], [0.351, 0.649, 0.649], [0.649, 0.351, 0.351], [0.500, 0.778, 0.222], [0.500, 0.222, 0.778], [0.278, 0.222, 0.222], [0.722, 0.778, 0.778], [0.000, 0.000, 0.500], [0.500, 0.000, 0.500], [0.000, 0.500, 0.000], [0.500, 0.500, 0.000]]}



[2]
{"formula": "LaGa2Pd2", "functional": "PBE", "state": "relaxed", "ef_ev_per_atom": -0.83, "polymorph_energy_mev_per_atom": 0, "total_energy_ev_per_atom": -5.10, "space_group": "No. 129", "lattice": [[-0.141, 4.427, -0.036], [-4.390, -0.144, -0.572], [-1.315, 0.041, 10.090]], "species": ["La", "La", "Ga", "Ga", "Ga", "Ga", "Pd", "Pd", "Pd", "Pd"], "fractional_positions": [[0.000, 0.500, 0.253], [0.500, 0.000, 0.747], [0.000, 0.000, 0.500], [0.500, 0.500, 0.500], [0.000, 0.500, 0.875], [0.500, 0.000, 0.125], [0.000, 0.000, 0.000], [0.500, 0.500, 0.000], [0.000, 0.500, 0.629], [0.500, 0.000, 0.371]]}



[3]
{"formula": "LaGa4Pd4", "functional": "PBE", "state": "relaxed", "ef_ev_per_atom": -0.61, "total_energy_ev_per_atom": -4.81, "space_group": "No. 87", "lattice": [[4.864, 0.000, 0.000], [0.000, 8.568, 0.000], [0.000, 0.000, 8.568]], "species": ["La", "La", "Ga", "Ga", "Ga", "Ga", "Ga", "Ga", "Ga", "Ga", "Pd", "Pd", "Pd", "Pd", "Pd", "Pd", "Pd", "Pd"], "fractional_positions": [[0.000, 0.000, 0.000], [0.500, 0.500, 0.500], [0.500, 0.387, 0.895], [0.000, 0.605, 0.887], [0.500, 0.613, 0.105], [0.000, 0.113, 0.605], [0.500, 0.895, 0.613], [0.000, 0.887, 0.395], [0.000, 0.395, 0.113], [0.500, 0.105, 0.387], [0.500, 0.812, 0.317], [0.500, 0.188, 0.683], [0.000, 0.817, 0.688], [0.000, 0.312, 0.817], [0.000, 0.688, 0.183], [0.500, 0.317, 0.188], [0.500, 0.683, 0.812], [0.000, 0.183, 0.312]]}



[4]
{"formula": "La2Ga5Pd3", "functional": "PBE", "state": "relaxed", "ef_ev_per_atom": -0.81, "total_energy_ev_per_atom": -4.87, "space_group": "No. 72", "lattice": [[5.894, 0.000, 0.000], [2.947, 8.297, 0.205], [2.947, 1.482, 8.167]], "species": ["La", "La", "La", "La", "Ga", "Ga", "Ga", "Ga", "Ga", "Ga", "Ga", "Ga", "Ga", "Ga", "Pd", "Pd", "Pd", "Pd", "Pd", "Pd"], "fractional_positions": [[0.135, 0.590, 0.139], [0.635, 0.139, 0.590], [0.865, 0.410, 0.861], [0.365, 0.861, 0.410], [0.400, 0.260, 0.940], [0.900, 0.940, 0.260], [0.600, 0.740, 0.060], [0.100, 0.060, 0.740], [0.463, 0.787, 0.787], [0.537, 0.213, 0.213], [0.750, 0.500, 0.500], [0.250, 0.500, 0.500], [0.037, 0.213, 0.213], [0.963, 0.787, 0.787], [0.358, 0.540, 0.744], [0.858, 0.744, 0.540], [0.642, 0.460, 0.256], [0.142, 0.256, 0.460], [0.250, 0.000, 0.000], [0.750, 0.000, 0.000]]}



[5]
{"formula": "La3Ga4Pd2", "functional": "PBE", "state": "relaxed", "ef_ev_per_atom": -0.75, "total_energy_ev_per_atom": -4.89, "space_group": "No. 12", "lattice": [[4.474, 0.000, 0.000], [-2.237, 5.376, -0.214], [0.000, -2.437, 8.817]], "species": ["La", "La", "La", "Ga", "Ga", "Ga", "Ga", "Pd", "Pd"], "fractional_positions": [[0.619, 0.238, 0.693], [0.000, 0.000, 0.000], [0.381, 0.762, 0.307], [0.723, 0.446, 0.063], [0.277, 0.554, 0.937], [0.878, 0.755, 0.572], [0.122, 0.245, 0.428], [0.664, 0.327, 0.313], [0.336, 0.673, 0.687]]}



[6]
{"formula": "LaGa11Pd", "functional": "PBE", "state": "relaxed", "ef_ev_per_atom": -0.25, "total_energy_ev_per_atom": -3.59, "space_group": "No. 12", "lattice": [[4.878, 0.000, 2.032], [2.404, 7.611, 1.001], [0.075, 0.000, 6.691]], "species": ["La", "Ga", "Ga", "Ga", "Ga", "Ga", "Ga", "Ga", "Ga", "Ga", "Ga", "Ga", "Pd"], "fractional_positions": [[0.000, 0.000, 0.000], [0.274, 0.229, 0.219], [0.726, 0.771, 0.781], [0.507, 0.771, 0.219], [0.493, 0.229, 0.781], [0.373, 0.638, 0.645], [0.627, 0.362, 0.355], [0.982, 0.362, 0.645], [0.018, 0.638, 0.355], [0.000, 0.500, 0.000], [0.500, 0.000, 0.500], [0.000, 0.000, 0.500], [0.500, 0.500, 0.000]]}



[7]
{"formula": "La3GaPd", "functional": "PBE", "state": "relaxed", "ef_ev_per_atom": -0.46, "polymorph_energy_mev_per_atom": 0, "total_energy_ev_per_atom": -5.06, "space_group": "No. 15", "lattice": [[-1.591, -2.022, -8.286], [0.486, -7.990, 1.857], [-8.002, -0.736, 1.717]], "species": ["La", "La", "La", "La", "La", "La", "La", "La", "La", "La", "La", "La", "Ga", "Ga", "Ga", "Ga", "Pd", "Pd", "Pd", "Pd"], "fractional_positions": [[0.585, 0.820, 0.015], [0.915, 0.985, 0.180], [0.415, 0.180, 0.985], [0.085, 0.015, 0.820], [0.814, 0.422, 0.078], [0.686, 0.922, 0.578], [0.186, 0.578, 0.922], [0.314, 0.078, 0.422], [0.585, 0.486, 0.681], [0.915, 0.319, 0.514], [0.415, 0.514, 0.319], [0.085, 0.681, 0.486], [0.250, 0.843, 0.157], [0.750, 0.157, 0.843], [0.250, 0.344, 0.656], [0.750, 0.656, 0.344], [0.869, 0.693, 0.810], [0.631, 0.190, 0.307], [0.131, 0.307, 0.190], [0.369, 0.810, 0.693]]}



[8]
{"formula": "LaGa2Pd2", "functional": "PBE", "state": "relaxed", "ef_ev_per_atom": -0.79, "polymorph_energy_mev_per_atom": 37, "total_energy_ev_per_atom": -5.07, "space_group": "No. 139", "lattice": [[4.382, 0.000, 0.000], [0.000, 4.382, 0.000], [2.191, 2.191, 5.258]], "species": ["Ga", "Ga", "Pd", "Pd", "La"], "fractional_positions": [[0.374, 0.374, 0.251], [0.626, 0.626, 0.749], [0.750, 0.250, 0.500], [0.250, 0.750, 0.500], [0.000, 0.000, 0.000]]}



[9]
{"formula": "La3Ga4Pd4", "functional": "PBE", "state": "relaxed", "ef_ev_per_atom": -0.82, "total_energy_ev_per_atom": -5.15, "space_group": "No. 2", "lattice": [[4.067, -0.003, 0.003], [-0.004, 4.434, 0.003], [2.024, 2.205, 13.249]], "species": ["La", "La", "La", "Ga", "Ga", "Ga", "Ga", "Pd", "Pd", "Pd", "Pd"], "fractional_positions": [[0.146, 0.646, 0.709], [0.855, 0.354, 0.291], [0.000, 0.000, 0.000], [0.548, 0.549, 0.902], [0.452, 0.451, 0.098], [0.304, 0.804, 0.392], [0.696, 0.196, 0.608], [0.599, 0.099, 0.803], [0.253, 0.253, 0.494], [0.747, 0.747, 0.506], [0.401, 0.901, 0.197]]}



[10]
{"formula": "LaGa6Pd", "functional": "PBE", "state": "relaxed", "ef_ev_per_atom": -0.53, "total_energy_ev_per_atom": -4.06, "space_group": "No. 123", "lattice": [[-4.132, -0.788, -1.376], [-1.294, -0.542, 4.197], [-1.652, 7.794, 0.497]], "species": ["La", "Ga", "Ga", "Ga", "Ga", "Ga", "Ga", "Pd"], "fractional_positions": [[0.000, 0.000, 0.000], [0.500, 0.000, 0.670], [0.000, 0.500, 0.670], [0.500, 0.500, 0.152], [0.500, 0.500, 0.848], [0.000, 0.500, 0.330], [0.500, 0.000, 0.330], [0.000, 0.000, 0.500]]}



[11]
{"formula": "La2Ga2Pd", "functional": "PBE", "state": "relaxed", "ef_ev_per_atom": -0.65, "polymorph_energy_mev_per_atom": 100, "total_energy_ev_per_atom": -4.87, "space_group": "No. 127", "lattice": [[7.073, 0.000, 0.000], [0.000, 7.073, 0.000], [0.000, 0.000, 4.761]], "species": ["Ga", "Ga", "Ga", "Ga", "Pd", "Pd", "La", "La", "La", "La"], "fractional_positions": [[0.360, 0.860, 0.000], [0.860, 0.640, 0.000], [0.640, 0.140, 0.000], [0.140, 0.360, 0.000], [0.000, 0.000, 0.000], [0.500, 0.500, 0.000], [0.163, 0.663, 0.500], [0.663, 0.837, 0.500], [0.837, 0.337, 0.500], [0.337, 0.163, 0.500]]}



[12]
{"formula": "LaGa2Pd8", "functional": "PBE", "state": "relaxed", "ef_ev_per_atom": -0.24, "total_energy_ev_per_atom": -5.01, "space_group": "No. 123", "lattice": [[-1.324, 1.571, 5.109], [-1.952, -5.042, 1.044], [6.797, -2.131, 2.417]], "species": ["La", "Ga", "Ga", "Pd", "Pd", "Pd", "Pd", "Pd", "Pd", "Pd", "Pd"], "fractional_positions": [[0.500, 0.500, 0.500], [0.500, 0.000, 0.000], [0.000, 0.500, 0.000], [0.755, 0.755, 0.218], [0.755, 0.245, 0.782], [0.755, 0.755, 0.782], [0.755, 0.245, 0.218], [0.245, 0.755, 0.218], [0.245, 0.755, 0.782], [0.245, 0.245, 0.218], [0.245, 0.245, 0.782]]}